1.
Material: Li2LaTa
Method: DFT, PBEsol
State: optimized geometry

Results
* formation energy from the elements: 2.725 eV/f.u.
* DOS at the Fermi energy: 5.557 states/eV per cell
* energy above the most stable polymorph in this dataset: 224 meV/atom
* calculated density: 6.7 Mg/m³
* energy: -4.78 eV per atom

abc: 4.2928 4.2928 4.4796
angles: 90.00 90.00 90.00
With the nearest neighbours (Å) after each atom.
Atoms (fractional coordinates):
Li  0.0000  0.5000  0.0000  4 Li 3.04, 4 Ta 3.10, 4 La 3.10
Ta  0.5000  0.5000  0.5000  4 La 3.04, 8 Li 3.10
La  0.0000  0.0000  0.5000  4 Ta 3.04, 8 Li 3.10
Li  0.5000  0.0000  0.0000  4 Li 3.04, 4 Ta 3.10, 4 La 3.10


2.
Material: Y3Ni4B4C3
Method: DFT, PBEsol
State: optimized geometry

Results
* formation energy from the elements: -7.949 eV/f.u.
* DOS at the Fermi energy: 4.240 states/eV per cell
* calculated density: 6.1 Mg/m³
* energy: -7.86 eV per atom

abc: 3.5294 3.5294 12.8349
angles: 97.90 97.90 90.00
With the nearest neighbours (Å) after each atom.
Atoms (fractional coordinates):
B  0.4406  0.4406  0.8812  1 C 1.50
Ni  0.3994  0.8994  0.7988  4 B 2.05-2.08
Y  0.7006  0.7006  0.4013  5 C 2.41-2.50
Ni  0.8994  0.3994  0.7988  4 B 2.05-2.08
B  0.8559  0.8559  0.7119  1 C 1.50
C  0.5000  0.5000  0.0000  2 B 1.50
C  0.7964  0.7964  0.5928  1 B 1.50
Ni  0.6006  0.1006  0.2012  4 B 2.05-2.08
Y  0.0000  0.0000  0.0000  4 C 2.50
C  0.2036  0.2036  0.4072  1 B 1.50
Ni  0.1006  0.6006  0.2012  4 B 2.05-2.08
B  0.1441  0.1441  0.2881  1 C 1.50
Y  0.2994  0.2994  0.5987  5 C 2.41-2.50
B  0.5594  0.5594  0.1188  1 C 1.50


3.
Material: Sr3CoN
Method: DFT, PBEsol
State: optimized geometry

Results
* DOS at the Fermi energy: 2.935 states/eV per cell
* raw formation energy: 0.941 eV/atom
* calculated density: 4.0 Mg/m³
* energy: -3.42 eV per atom

abc: 5.1897 5.1897 5.1897
angles: 90.00 90.00 90.00
With the nearest neighbours (Å) after each atom.
Atoms (fractional coordinates):
Sr  0.0000  0.5000  0.0000  2 Co 2.59
Sr  0.5000  0.0000  0.0000  2 Co 2.59
Co  0.0000  0.0000  0.0000  6 Sr 2.59
N  0.5000  0.5000  0.5000  12 Sr 3.67
Sr  0.0000  0.0000  0.5000  2 Co 2.59


Computed total magnetic moment (μB per formula unit) in order:
0.001 0.001 0.002